(1)
The following is a DFT calculation (PBE) of a relaxed TlTe2Pb crystal.

abc: 8.668 8.668 8.668
angles: 29.93 29.93 29.93
Element x y z (fractional)
Tl 0.000 0.000 0.000
Te 0.272 0.272 0.272
Te 0.499 0.499 0.499
Pb 0.765 0.765 0.765

Output
**Crystal system**: trigonal
**Volume**: 143.61 Å³ per cell
**VASP energy**: -3.2164 eV/atom



(2)
The following is a DFT calculation (PBE) of a relaxed PrEr6Tm2 crystal.

abc: 8.616 8.616 8.616
angles: 46.97 46.97 46.97
Element x y z (fractional)
Pr 0.000 0.000 0.000
Er 0.226 0.719 0.719
Er 0.438 0.947 0.947
Er 0.719 0.226 0.719
Er 0.719 0.719 0.226
Er 0.947 0.438 0.947
Er 0.947 0.947 0.438
Tm 0.246 0.246 0.246
Tm 0.413 0.413 0.413

Output
**Relative energy among the computed polymorphs**: 397.0 meV/atom
**Crystal system**: trigonal
**Volume**: 312.34 Å³ per cell
**Calculated formation energy**: 3.57 eV/f.u.
**VASP energy**: -4.1698 eV/atom



(3)
The following is a DFT calculation (PBE) of a relaxed LiTl12Bi6 crystal.

abc: 8.502 8.502 8.502
angles: 89.28 89.28 89.28
Element x y z (fractional)
Li 0.000 0.000 0.000
Tl 0.055 0.149 0.376
Tl 0.149 0.376 0.055
Tl 0.192 0.481 0.572
Tl 0.376 0.055 0.149
Tl 0.428 0.808 0.519
Tl 0.481 0.572 0.192
Tl 0.519 0.428 0.808
Tl 0.572 0.192 0.481
Tl 0.624 0.945 0.851
Tl 0.808 0.519 0.428
Tl 0.851 0.624 0.945
Tl 0.945 0.851 0.624
Bi 0.107 0.760 0.261
Bi 0.240 0.739 0.893
Bi 0.261 0.107 0.760
Bi 0.739 0.893 0.240
Bi 0.760 0.261 0.107
Bi 0.893 0.240 0.739

Output
**Crystal system**: trigonal
**Volume**: 614.43 Å³ per cell
**Calculated formation energy**: -0.64 eV/f.u.
**VASP energy**: -2.8547 eV/atom